[1]
Entry from Alexandria: a relaxed ZnMoOs2 crystal (PBE-GGA). Values from VASP.

Quantum ESPRESSO input file:
```
&SYSTEM
  ibrav = 0, nat = 4, ntyp = 3
/
ATOMIC_SPECIES
Os 190.23 Os.upf
Mo 95.94 Mo.upf
Zn 65.41 Zn.upf
CELL_PARAMETERS angstrom
3.155 0.000 0.000
0.000 4.311 0.000
0.000 0.000 4.311
ATOMIC_POSITIONS crystal
Os 0.000 0.000 0.000
Os 0.000 0.500 0.500
Mo 0.500 0.000 0.500
Zn 0.500 0.500 0.000
```

total magnetic moment = 0.00 μB/f.u.
ΔH_f (0 K) = 0.271 eV/atom
V = 14.66 Å³ per atom

[2]
Entry from Alexandria: a relaxed ZnMoOs2 crystal (PBE-GGA). Values from VASP.

Quantum ESPRESSO input file:
```
&SYSTEM
  ibrav = 0, nat = 4, ntyp = 3
/
ATOMIC_SPECIES
Mo 95.94 Mo.upf
Os 190.23 Os.upf
Zn 65.41 Zn.upf
CELL_PARAMETERS angstrom
4.009 0.000 0.000
0.000 2.754 0.010
0.000 2.719 5.287
ATOMIC_POSITIONS crystal
Mo 0.500 0.751 0.747
Os 0.000 0.002 0.998
Os 0.500 0.241 0.261
Zn 0.000 0.506 0.494
```

total magnetic moment = 0.00 μB/f.u.
ΔH_f (0 K) = 0.164 eV/atom
V = 14.56 Å³ per atom

[3]
Entry from Alexandria: a relaxed ZnMoOs2 crystal (PBE-GGA). Values from VASP.

Quantum ESPRESSO input file:
```
&SYSTEM
  ibrav = 0, nat = 4, ntyp = 3
/
ATOMIC_SPECIES
Mo 95.94 Mo.upf
Zn 65.41 Zn.upf
Os 190.23 Os.upf
CELL_PARAMETERS angstrom
-0.212 1.147 2.478
-2.397 -1.269 0.382
3.775 -6.172 3.181
ATOMIC_POSITIONS crystal
Mo 0.500 0.500 0.751
Zn 0.000 0.000 0.490
Os 0.500 0.500 0.242
Os 0.000 0.000 0.018
```

total magnetic moment = 0.00 μB/f.u.
ΔH_f (0 K) = 0.146 eV/atom
V = 14.82 Å³ per atom

[4]
Entry from Alexandria: a relaxed ZnMoOs2 crystal (PBE-GGA). Values from VASP.

Quantum ESPRESSO input file:
```
&SYSTEM
  ibrav = 0, nat = 4, ntyp = 3
/
ATOMIC_SPECIES
Os 190.23 Os.upf
Zn 65.41 Zn.upf
Mo 95.94 Mo.upf
CELL_PARAMETERS angstrom
-5.295 -6.803 2.717
-3.146 -7.238 4.406
-5.114 -5.425 5.110
ATOMIC_POSITIONS crystal
Os 0.499 0.499 0.499
Os 0.001 0.001 0.001
Zn 0.250 0.250 0.250
Mo 0.750 0.750 0.750
```

total magnetic moment = 0.00 μB/f.u.
ΔH_f (0 K) = 0.115 eV/atom
V = 14.75 Å³ per atom